i:
Compound: DyTm2Zn
Source: Alexandria
Functional: PBE
Structure: optimized geometry

```
DyTm2Zn
1.0
3.513 0.000 0.000
1.756 3.042 0.000
1.756 1.014 10.205
Zn Tm Dy
1 2 1
direct
0.000 0.000 0.000
0.261 0.261 0.218
0.739 0.739 0.782
0.500 0.500 0.500
```

***

ii:
Compound: DyTm2Zn
Source: Alexandria
Functional: PBE
Structure: optimized geometry

```
DyTm2Zn
1.0
-0.099 0.306 -4.689
-4.695 0.088 0.104
0.095 4.687 0.304
Zn Tm Dy
1 2 1
direct
0.500 0.000 0.000
0.000 0.000 0.500
0.000 0.500 0.000
0.500 0.500 0.500
```

***

Stability check: which of them is most stable? i.

***

i:
Compound: CaLaY2
Source: Alexandria
Functional: PBE
Structure: optimized geometry

```
CaLaY2
1.0
3.681 0.000 0.000
0.000 5.244 0.000
0.000 0.000 7.328
Y Ca La
2 1 1
direct
0.000 0.000 0.991
0.000 0.000 0.509
0.500 0.500 0.250
0.500 0.500 0.750
```

***

ii:
Compound: CaLaY2
Source: Alexandria
Functional: PBE
Structure: optimized geometry

```
CaLaY2
1.0
-3.567 -3.177 5.058
-5.534 -3.808 -1.809
6.863 0.924 -0.668
Y Ca La
2 1 1
direct
0.993 0.993 0.000
0.752 0.252 0.500
0.508 0.508 0.000
0.248 0.748 0.500
```

***

Stability check: which of them is most stable? i.